[1]
## BaVAs2 (PBE)

Data for a relaxed structure of BaVAs2.

abc: 3.6570 3.6570 9.4434
angles: 78.84 78.84 60.00
Sites, in units of the cell vectors:
1 As 0.1154 0.1154 0.6538
2 Ba 0.0000 0.0000 0.0000
3 V 0.5000 0.5000 0.5000
4 As 0.8846 0.8846 0.3462

Output
Its energy above the most stable polymorph in this dataset is 517.3 meV per atom.

***

[2]
## BaVAs2 (PBE)

Data for a relaxed structure of BaVAs2.

abc: 5.1082 5.1082 5.1082
angles: 60.00 60.00 60.00
Sites, in units of the cell vectors:
1 Ba 0.5000 0.5000 0.5000
2 As 0.7500 0.7500 0.7500
3 As 0.2500 0.2500 0.2500
4 V 0.0000 0.0000 0.0000

Output
Its energy above the most stable polymorph in this dataset is 451.8 meV per atom.

***

[3]
## BaVAs2 (PBE)

Data for a relaxed structure of BaVAs2.

abc: 5.6108 5.6108 8.5009
angles: 70.73 70.73 90.00
Sites, in units of the cell vectors:
1 Ba 0.7500 0.2500 0.5000
2 As 0.3750 0.6248 0.7500
3 As 0.3752 0.1250 0.2500
4 As 0.3748 0.6250 0.2500
5 Ba 0.0000 0.0000 0.0000
6 As 0.8750 0.6252 0.7500
7 V 0.2500 0.7500 0.5000
8 V 0.5000 0.5000 0.0000

Output
Its energy above the most stable polymorph in this dataset is 9.1 meV per atom.

***

[4]
## BaVAs2 (PBE)

Data for a relaxed structure of BaVAs2.

abc: 4.1183 4.1181 7.0396
angles: 107.01 107.01 90.00
Sites, in units of the cell vectors:
1 As 0.5702 0.2298 0.9258
2 V 0.4713 0.6311 0.7282
3 As 0.8726 0.5325 0.5306
4 Ba 0.2212 0.8813 0.2282

Output
Its energy above the most stable polymorph in this dataset is 0.0 meV per atom.

***

[5]
## BaZr2VAs (PBE)

Data for a relaxed structure of BaZr2VAs.

abc: 5.3379 4.7302 5.3379
angles: 90.00 90.00 90.00
Sites, in units of the cell vectors:
1 Ba 0.0000 0.0000 0.0000
2 V 0.0000 0.5000 0.0000
3 Zr 0.5000 0.0000 0.0000
4 Zr 0.0000 0.0000 0.5000
5 As 0.5000 0.5000 0.5000

Output
The energy comes out at -23.19 eV for the cell shown.

***

[6]
## Ba2AsW (PBE)

Data for a relaxed structure of Ba2AsW.

abc: 4.4356 5.0120 6.4970
angles: 67.27 90.00 90.00
Sites, in units of the cell vectors:
1 Ba 0.5000 0.2707 0.3342
2 As 0.5000 0.5750 0.7251
3 W 0.0000 0.6718 0.5314
4 Ba 0.0000 0.9825 0.9093

Output
The energy comes out at -20.56 eV for the cell shown.